1.
CrSbBr2: optimized geometry, PBE.

## Properties
- calculated volume (Å³/f.u.) = 138.08
- ΔE to the lowest computed polymorph (meV/atom) = 25.7
- E_form (uncorrected) (eV per atom) = -0.1518
- space-group type = Cm (8)

Cell lengths 7.333, 7.333, 5.826 Å; angles 102.73, 102.73, 26.90 degrees
Element x y z (fractional)
Cr 0.000 0.000 0.000
Sb 0.361 0.361 0.711
Br 0.414 0.414 0.265
Br 0.629 0.629 0.016

***

2.
Te2AsPI: optimized geometry, PBE.

## Properties
- calculated volume (Å³/f.u.) = 147.03
- ΔE to the lowest computed polymorph (meV/atom) = 0.0
- E_form (uncorrected) (eV per atom) = 0.7025
- space-group type = P4/mmm (123)

Cell lengths 5.321, 5.321, 5.192 Å; angles 90.00, 90.00, 90.00 degrees
Element x y z (fractional)
Te 0.000 0.500 0.000
Te 0.500 0.000 0.000
As 0.000 0.000 0.500
P 0.500 0.500 0.000
I 0.500 0.500 0.500

***

3.
NdTl2Ge2O6: optimized geometry, PBE.

## Properties
- calculated volume (Å³/f.u.) = 200.65
- E_form (uncorrected) (eV per atom) = -1.6477
- space-group type = C2/m (12)

Cell lengths 6.161, 6.161, 7.236 Å; angles 117.99, 117.99, 60.50 degrees
Element x y z (fractional)
Nd 0.000 0.000 0.000
Tl 0.208 0.208 0.667
Tl 0.792 0.792 0.333
Ge 0.454 0.454 0.288
Ge 0.546 0.546 0.712
O 0.230 0.697 0.739
O 0.259 0.259 0.153
O 0.303 0.770 0.261
O 0.697 0.230 0.739
O 0.741 0.741 0.847
O 0.770 0.303 0.261

***

4.
PrHoLuCd: optimized geometry, PBE.

## Properties
- calculated volume (Å³/f.u.) = 116.36
- formation energy from the elements (eV per atom) = -0.04
- space-group type = F-43m (216)

Cell lengths 5.480, 5.480, 5.480 Å; angles 60.00, 60.00, 60.00 degrees
Element x y z (fractional)
Pr 0.000 0.000 0.000
Ho 0.500 0.500 0.500
Lu 0.750 0.750 0.750
Cd 0.250 0.250 0.250

***

5.
Mo2RuCl: optimized geometry, PBE.

## Properties
- calculated volume (Å³/f.u.) = 64.11
- ΔE to the lowest computed polymorph (meV/atom) = 198.6
- E_form (uncorrected) (eV per atom) = 0.4161
- space-group type = Cmm2 (35)

Cell lengths 2.846, 2.846, 8.603 Å; angles 90.00, 90.00, 113.06 degrees
Element x y z (fractional)
Mo 0.000 0.000 0.000
Mo 0.500 0.500 0.252
Ru 0.000 0.000 0.486
Cl 0.500 0.500 0.759

***

6.
TaInNiC: optimized geometry, PBE.

## Properties
- calculated volume (Å³/f.u.) = 57.85
- formation energy from the elements (eV per atom) = 0.02
- ΔE to the lowest computed polymorph (meV/atom) = 111.7
- space-group type = P3m1 (156)

Cell lengths 3.171, 3.171, 6.643 Å; angles 90.00, 90.00, 120.00 degrees
Element x y z (fractional)
Ta 0.000 0.000 0.000
In 0.333 0.667 0.622
Ni 0.667 0.333 0.308
C 0.333 0.667 0.160

***

Q: Among the records above, which one has the highest calculated volume?
A: NdTl2Ge2O6

***

Q: Number 2 is which compound?
A: Te2AsPI

***

Q: Among the records above, which one has the lowest calculated volume?
A: TaInNiC